# 1
Er2TeCl, relaxed, DFT GGA-PBE; electronic total energy = -18.443 eV per cell; uncorrected formation energy = -1.08 eV/atom; symmetry = R-3m; ρ = 6.597 Mg/m³; V = 125.2 Å³/f.u.
1.0
3.983 0.000 0.000
1.991 3.449 0.000
1.991 1.150 9.117
Te Er Cl
1 2 1
Direct
0.500 0.500 0.500
0.906 0.906 0.283
0.094 0.094 0.717
0.000 0.000 0.000



# 2
BaCdIn2H, relaxed, DFT GGA-PBE; electronic total energy = -11.418 eV per cell; symmetry = P4/mmm; ρ = 6.036 Mg/m³; V = 132.2 Å³/f.u.
1.0
5.014 0.000 0.000
0.000 5.257 0.000
0.000 0.000 5.014
In Ba H Cd
2 1 1 1
Direct
0.000 0.000 0.500
0.500 0.000 0.000
0.500 0.500 0.500
0.000 0.000 0.000
0.000 0.500 0.000



# 3
SiNiTe2, relaxed, DFT GGA-PBE; electronic total energy = -17.323 eV per cell; uncorrected formation energy = 0.04 eV/atom; symmetry = Immm; ρ = 6.240 Mg/m³; V = 91.0 Å³/f.u.
1.0
-0.842 -6.870 2.356
2.942 -6.595 -1.139
0.630 7.167 1.300
Si Te Ni
1 2 1
Direct
0.750 0.250 0.500
0.394 0.394 0.000
0.106 0.106 0.000
0.250 0.750 0.500



# 4
Pr4IO10, relaxed, DFT GGA-PBE; electronic total energy = -102.195 eV per cell; uncorrected formation energy = -2.13 eV/atom; symmetry = I4/m; ρ = 6.544 Mg/m³; V = 215.8 Å³/f.u.
1.0
5.169 0.000 2.334
2.585 6.169 1.167
0.046 0.000 6.789
O Pr I
10 4 1
Direct
0.043 0.080 0.272
0.877 0.728 0.080
0.957 0.920 0.728
0.685 0.272 0.920
0.395 0.920 0.728
0.750 0.500 0.500
0.123 0.272 0.920
0.315 0.728 0.080
0.605 0.080 0.272
0.250 0.500 0.500
0.402 0.794 0.403
0.195 0.403 0.206
0.805 0.597 0.794
0.598 0.206 0.597
0.000 0.000 0.000